VASP calculation (PBE) on an optimized crystal structure of Ho4Tm3Zn.

Calculated values
As for the space group: P4/mmm, No. 123. The calculation puts the density of states at the Fermi level at 10.32 states/eV/f.u. Its formation energy is -0.07 eV per atom.

Cell: 3.517 3.517 18.459 Å, 90.00 90.00 90.00°
Fractional coordinates of all 8 atoms:
Ho  0.000  0.000  0.096
Ho  0.000  0.000  0.366
Ho  0.000  0.000  0.634
Ho  0.000  0.000  0.904
Tm  0.500  0.500  0.233
Tm  0.500  0.500  0.500
Tm  0.500  0.500  0.767
Zn  0.500  0.500  0.000